# 1
VASP calculation (PBE) on an optimized crystal structure of SrRu2Se. Values from VASP.

Output
Symmetry   No. 6
Uncorrected formation energy   -0.016 eV per atom
N(E_F)   0.46 states/eV per atom

The structure in Quantum ESPRESSO input format:
```
&SYSTEM
  ibrav = 0, nat = 4, ntyp = 3
/
ATOMIC_SPECIES
Sr 87.62 Sr.upf
Ru 101.07 Ru.upf
Se 78.96 Se.upf
CELL_PARAMETERS angstrom
3.940 0.000 0.000
0.000 3.827 0.000
-1.603 0.000 5.986
ATOMIC_POSITIONS crystal
Sr 0.000 0.000 0.000
Ru 0.160 0.500 0.600
Ru 0.462 0.000 0.532
Se 0.644 0.500 0.289
```



# 2
VASP calculation (PBE) on an optimized crystal structure of SrInRu2. Values from VASP.

Output
Symmetry   No. 12
Formation energy from the elements   0.631 eV per atom
N(E_F)   1.39 states/eV per atom

The structure in Quantum ESPRESSO input format:
```
&SYSTEM
  ibrav = 0, nat = 4, ntyp = 3
/
ATOMIC_SPECIES
Sr 87.62 Sr.upf
In 114.82 In.upf
Ru 101.07 Ru.upf
CELL_PARAMETERS angstrom
3.112 -4.632 0.000
3.112 4.632 0.000
-1.228 0.000 2.705
ATOMIC_POSITIONS crystal
Sr 0.000 0.000 0.000
In 0.500 0.500 0.000
Ru 0.000 0.500 0.500
Ru 0.500 0.000 0.500
```



# 3
VASP calculation (PBE) on an optimized crystal structure of Tm3Tl5O12. Values from VASP.

Output
Symmetry   No. 230
Uncorrected formation energy   -1.642 eV per atom
N(E_F)   0.34 states/eV per atom

The structure in Quantum ESPRESSO input format:
```
&SYSTEM
  ibrav = 0, nat = 80, ntyp = 3
/
ATOMIC_SPECIES
Tm 168.93 Tm.upf
Tl 204.38 Tl.upf
O 16.00 O.upf
CELL_PARAMETERS angstrom
-6.677 6.677 6.677
6.677 -6.677 6.677
6.677 6.677 -6.677
ATOMIC_POSITIONS crystal
Tm 0.125 0.250 0.375
Tm 0.125 0.375 0.750
Tm 0.250 0.375 0.125
Tm 0.250 0.875 0.625
Tm 0.375 0.125 0.250
Tm 0.375 0.750 0.125
Tm 0.625 0.250 0.875
Tm 0.625 0.875 0.750
Tm 0.750 0.125 0.375
Tm 0.750 0.625 0.875
Tm 0.875 0.625 0.250
Tm 0.875 0.750 0.625
Tl 0.000 0.000 0.000
Tl 0.000 0.000 0.500
Tl 0.000 0.500 0.000
Tl 0.000 0.500 0.500
Tl 0.125 0.750 0.875
Tl 0.125 0.875 0.250
Tl 0.250 0.125 0.875
Tl 0.250 0.625 0.375
Tl 0.375 0.250 0.625
Tl 0.375 0.625 0.750
Tl 0.500 0.000 0.000
Tl 0.500 0.000 0.500
Tl 0.500 0.500 0.000
Tl 0.500 0.500 0.500
Tl 0.625 0.375 0.250
Tl 0.625 0.750 0.375
Tl 0.750 0.375 0.625
Tl 0.750 0.875 0.125
Tl 0.875 0.125 0.750
Tl 0.875 0.250 0.125
O 0.054 0.225 0.140
O 0.054 0.330 0.914
O 0.084 0.725 0.670
O 0.084 0.860 0.414
O 0.086 0.640 0.416
O 0.086 0.946 0.670
O 0.140 0.054 0.225
O 0.140 0.586 0.916
O 0.170 0.225 0.584
O 0.170 0.446 0.586
O 0.225 0.140 0.054
O 0.225 0.584 0.170
O 0.275 0.330 0.916
O 0.275 0.446 0.360
O 0.330 0.914 0.054
O 0.330 0.916 0.275
O 0.360 0.275 0.446
O 0.360 0.584 0.914
O 0.414 0.084 0.860
O 0.414 0.830 0.554
O 0.416 0.086 0.640
O 0.416 0.830 0.775
O 0.446 0.360 0.275
O 0.446 0.586 0.170
O 0.554 0.414 0.830
O 0.554 0.640 0.725
O 0.584 0.170 0.225
O 0.584 0.914 0.360
O 0.586 0.170 0.446
O 0.586 0.916 0.140
O 0.640 0.416 0.086
O 0.640 0.725 0.554
O 0.670 0.084 0.725
O 0.670 0.086 0.946
O 0.725 0.554 0.640
O 0.725 0.670 0.084
O 0.775 0.416 0.830
O 0.775 0.860 0.946
O 0.830 0.554 0.414
O 0.830 0.775 0.416
O 0.860 0.414 0.084
O 0.860 0.946 0.775
O 0.914 0.054 0.330
O 0.914 0.360 0.584
O 0.916 0.140 0.586
O 0.916 0.275 0.330
O 0.946 0.670 0.086
O 0.946 0.775 0.860
```



# 4
VASP calculation (PBE) on an optimized crystal structure of PuZnTcO6. Values from VASP.

Output
Symmetry   No. 163
Uncorrected formation energy   -1.818 eV per atom
N(E_F)   0.73 states/eV per atom

The structure in Quantum ESPRESSO input format:
```
&SYSTEM
  ibrav = 0, nat = 18, ntyp = 4
/
ATOMIC_SPECIES
Pu 244.00 Pu.upf
Zn 65.41 Zn.upf
Tc 98.00 Tc.upf
O 16.00 O.upf
CELL_PARAMETERS angstrom
5.329 0.000 0.000
-2.665 4.615 0.000
0.000 0.000 9.045
ATOMIC_POSITIONS crystal
Pu 0.333 0.667 0.250
Pu 0.667 0.333 0.750
Zn 0.000 0.000 0.000
Zn 0.000 0.000 0.500
Tc 0.333 0.667 0.750
Tc 0.667 0.333 0.250
O 0.023 0.354 0.631
O 0.023 0.669 0.869
O 0.331 0.354 0.869
O 0.331 0.977 0.631
O 0.354 0.023 0.131
O 0.354 0.331 0.369
O 0.646 0.669 0.631
O 0.646 0.977 0.869
O 0.669 0.023 0.369
O 0.669 0.646 0.131
O 0.977 0.331 0.131
O 0.977 0.646 0.369
```



# 5
VASP calculation (PBE) on an optimized crystal structure of MnCoOs. Values from VASP.

Output
Symmetry   No. 44
Formation energy from the elements   0.085 eV per atom
N(E_F)   1.31 states/eV per atom

The structure in Quantum ESPRESSO input format:
```
&SYSTEM
  ibrav = 0, nat = 3, ntyp = 3
/
ATOMIC_SPECIES
Mn 54.94 Mn.upf
Co 58.93 Co.upf
Os 190.23 Os.upf
CELL_PARAMETERS angstrom
-1.306 1.806 3.844
1.306 -1.806 3.844
1.306 1.806 -3.844
ATOMIC_POSITIONS crystal
Mn 0.000 0.000 0.000
Co 0.334 0.334 0.000
Os 0.666 0.666 0.000
```



# 6
VASP calculation (PBE) on an optimized crystal structure of Nd3Ho3Er. Values from VASP.

Output
Symmetry   No. 148
Formation energy from the elements   0.169 eV per atom
N(E_F)   1.55 states/eV per atom

The structure in Quantum ESPRESSO input format:
```
&SYSTEM
  ibrav = 0, nat = 14, ntyp = 3
/
ATOMIC_SPECIES
Nd 144.24 Nd.upf
Ho 164.93 Ho.upf
Er 167.26 Er.upf
CELL_PARAMETERS angstrom
3.108 1.795 14.395
-3.108 1.795 14.395
0.000 -3.589 14.395
ATOMIC_POSITIONS crystal
Nd 0.131 0.462 0.800
Nd 0.200 0.869 0.538
Nd 0.462 0.800 0.131
Nd 0.538 0.200 0.869
Nd 0.800 0.131 0.462
Nd 0.869 0.538 0.200
Ho 0.064 0.731 0.398
Ho 0.269 0.602 0.936
Ho 0.398 0.064 0.731
Ho 0.602 0.936 0.269
Ho 0.731 0.398 0.064
Ho 0.936 0.269 0.602
Er 0.333 0.333 0.333
Er 0.667 0.667 0.667
```



# 7
VASP calculation (PBE) on an optimized crystal structure of Ce4BiTe2P. Values from VASP.

Output
Symmetry   No. 10
Uncorrected formation energy   -1.236 eV per atom
N(E_F)   3.40 states/eV per atom

The structure in Quantum ESPRESSO input format:
```
&SYSTEM
  ibrav = 0, nat = 8, ntyp = 4
/
ATOMIC_SPECIES
Ce 140.12 Ce.upf
Bi 208.98 Bi.upf
Te 127.60 Te.upf
P 30.97 P.upf
CELL_PARAMETERS angstrom
7.664 0.000 0.000
0.000 4.383 0.000
-2.516 0.000 7.321
ATOMIC_POSITIONS crystal
Ce 0.225 0.000 0.222
Ce 0.238 0.500 0.768
Ce 0.762 0.500 0.232
Ce 0.775 0.000 0.778
Bi 0.000 0.000 0.500
Te 0.500 0.000 0.000
Te 0.500 0.500 0.500
P 0.000 0.500 0.000
```



# 8
VASP calculation (PBE) on an optimized crystal structure of CoReTc. Values from VASP.

Output
Symmetry   No. 107
Formation energy from the elements   0.182 eV per atom
N(E_F)   1.09 states/eV per atom

The structure in Quantum ESPRESSO input format:
```
&SYSTEM
  ibrav = 0, nat = 3, ntyp = 3
/
ATOMIC_SPECIES
Co 58.93 Co.upf
Re 186.21 Re.upf
Tc 98.00 Tc.upf
CELL_PARAMETERS angstrom
-1.563 1.563 4.191
1.563 -1.563 4.191
1.563 1.563 -4.191
ATOMIC_POSITIONS crystal
Co 0.000 0.000 0.000
Re 0.662 0.662 0.000
Tc 0.332 0.332 0.000
```